Density functional theory data (PBE) for crystalline AlGaSiAu2 at its relaxed geometry.

a = 4.913 Å, b = 4.913 Å, c = 4.776 Å
α = 90.00°, β = 90.00°, γ = 90.00°
Atoms (fractional coordinates):
Al1 0.000 0.000 0.000
Ga1 0.500 0.500 0.500
Si1 0.500 0.500 0.000
Au1 0.000 0.500 0.500
Au2 0.500 0.000 0.500

Results
Formation energy (no corrections) ... 0.59 eV/atom
Magnetic moment ... 0.0 μB per cell
Space group ... P4/mmm